This record from the Alexandria database describes an optimized crystal structure of V2CoSiO. The functional is PBE with a Hubbard U.

Summary:
Energy relative to the lowest polymorph listed for this composition, eV/atom: 0.186
E, eV per cell: -23.33
M_tot, μB/f.u.: 0.00
D(E_F), states/eV per atom: 0.760

Geometry as POSCAR:
```
V2CoSiO
1.0
4.672 0.000 0.000
0.000 4.672 0.000
0.000 0.000 3.310
V Co Si O
2 1 1 1
Direct
0.000 0.500 0.000
0.500 0.000 0.000
0.000 0.000 0.500
0.500 0.500 0.000
0.500 0.500 0.500
```